The following is a PBE calculation of a relaxed structure of Ba8RhPbAu2, from the Alexandria database.

Cell: 7.694 10.010 7.811 Å, 90.00 90.97 90.00°
Space group P2/m (No. 10)
Asymmetric unit:
Ba 0.219 0.221 0.170 x4
Ba 0.261 0.000 0.685 x2
Ba 0.276 0.500 0.658 x2
Rh 0.000 0.000 0.000 x1
Pb 0.000 0.500 0.000 x1
Au 0.500 0.245 0.500 x2

Calculated values
formation energy from the elements: -0.3844 eV per atom

The following is a PBE calculation of a relaxed structure of Ba2RhPb4Au3, from the Alexandria database.

Cell: 4.945 4.945 11.713 Å, 90.00 90.00 90.00°
Space group P-4m2 (No. 115)
Asymmetric unit:
Ba 0.000 0.500 0.234 x2
Rh 0.500 0.500 0.000 x1
Pb 0.000 0.000 0.500 x1
Pb 0.000 0.500 0.888 x2
Pb 0.500 0.500 0.500 x1
Au 0.000 0.000 0.000 x1
Au 0.000 0.500 0.643 x2

Calculated values
formation energy from the elements: -0.3902 eV per atom

The following is a PBE calculation of a relaxed structure of Ba2Sb3PbAu4, from the Alexandria database.

Cell: 4.926 4.926 11.514 Å, 90.00 90.00 90.00°
Space group P-4m2 (No. 115)
Asymmetric unit:
Ba 0.000 0.500 0.234 x2
Sb 0.000 0.500 0.876 x2
Sb 0.500 0.500 0.500 x1
Pb 0.000 0.000 0.500 x1
Au 0.000 0.000 0.000 x1
Au 0.000 0.500 0.640 x2
Au 0.500 0.500 0.000 x1

Calculated values
E_form (uncorrected): -0.590 eV per atom

The following is a PBE calculation of a relaxed structure of BaSbPb2Au2, from the Alexandria database.

Cell: 5.686 5.686 12.657 Å, 90.00 90.00 90.00°
Space group I4/mmm (No. 139)
Asymmetric unit:
Ba 0.000 0.000 0.000 x2
Sb 0.000 0.000 0.500 x2
Pb 0.000 0.500 0.250 x4
Au 0.000 0.000 0.283 x4

Calculated values
E_form (uncorrected): -0.214 eV per atom

The following is a PBE calculation of a relaxed structure of Ba3Sb4Pb2Au2, from the Alexandria database.

Cell: 4.7926 4.7926 19.6747 Å, 90.00 90.00 120.00°
Space group P-3m1 (No. 164)
Asymmetric unit:
Ba 0.0000 0.0000 0.0000 x1
Ba 0.0000 0.0000 0.2428 x2
Sb 0.3333 0.6667 0.3531 x2
Sb 0.3333 0.6667 0.8793 x2
Pb 0.3333 0.6667 0.5731 x2
Au 0.3333 0.6667 0.1230 x2

Calculated values
E_form (uncorrected): -0.707 eV per atom

The following is a PBE calculation of a relaxed structure of BaSb2PbAu4, from the Alexandria database.

Cell: 5.146 5.146 8.200 Å, 90.00 90.00 90.00°
Space group P4/mmm (No. 123)
Asymmetric unit:
Ba 0.000 0.000 0.000 x1
Sb 0.500 0.500 0.184 x2
Pb 0.000 0.000 0.500 x1
Au 0.000 0.500 0.312 x4

Calculated values
E_form (uncorrected): -0.333 eV per atom